a.
First-principles (PBE) data for crystalline TlSiTeN2 at its relaxed geometry, as listed in Alexandria via LeMat-Bulk.

Computed properties:
V in A^3/atom: 23.9

Cell lengths 4.3476, 4.3476, 6.3321 Å; angles 90.00, 90.00, 90.00 degrees
Closest atoms and distances in Å follow each position.
Element x y z (fractional)
Tl 0.0000 0.0000 0.0000  4 N 2.17
Te 0.0000 0.0000 0.5000  4 Si 3.07, 2 Tl 3.17
Si 0.5000 0.5000 0.5000  4 Te 3.07
N 0.0000 0.5000 0.0000  2 Tl 2.17
N 0.5000 0.0000 0.0000  2 Tl 2.17

---

b.
First-principles (PBE) data for crystalline TlSiTeN2 at its relaxed geometry, as listed in Alexandria via LeMat-Bulk.

Computed properties:
V in A^3/atom: 17.0

Cell lengths 3.8777, 3.8777, 5.6502 Å; angles 90.00, 90.00, 90.00 degrees
Closest atoms and distances in Å follow each position.
Element x y z (fractional)
Tl 0.5000 0.5000 0.5000  4 Te 2.74
Te 0.0000 0.0000 0.5000  4 Tl 2.74, 2 Si 2.83
Si 0.0000 0.0000 0.0000  4 N 1.94
N 0.0000 0.5000 0.0000  2 Si 1.94
N 0.5000 0.0000 0.0000  2 Si 1.94

---

Order of stability, best first: b, a

---

a.
First-principles (PBE) data for crystalline VSiTe2N at its relaxed geometry, as listed in Alexandria via LeMat-Bulk.

Computed properties:
V in A^3/atom: 20.1

Cell lengths 5.5041, 5.5041, 3.3117 Å; angles 90.00, 90.00, 90.00 degrees
Closest atoms and distances in Å follow each position.
Element x y z (fractional)
N 0.0000 0.0000 0.5000  2 Si 1.66
Si 0.0000 0.0000 0.0000  2 N 1.66
Te 0.0000 0.5000 0.0000  2 Si 2.75
Te 0.5000 0.0000 0.0000  2 Si 2.75
V 0.5000 0.5000 0.5000  8 Te 3.21, 2 V 3.31

---

b.
First-principles (PBE) data for crystalline VSiTe2N at its relaxed geometry, as listed in Alexandria via LeMat-Bulk.

Computed properties:
V in A^3/atom: 20.9

Cell lengths 5.3685, 5.3685, 3.6239 Å; angles 90.00, 90.00, 90.00 degrees
Closest atoms and distances in Å follow each position.
Element x y z (fractional)
N 0.0000 0.0000 0.5000  2 V 1.81
Si 0.5000 0.5000 0.5000  8 Te 3.24, 2 Si 3.62
Te 0.0000 0.5000 0.0000  2 V 2.68
Te 0.5000 0.0000 0.0000  2 V 2.68
V 0.0000 0.0000 0.0000  2 N 1.81

---

Order of stability, best first: b, a

---

a.
First-principles (PBE) data for crystalline SiTe2WN at its relaxed geometry, as listed in Alexandria via LeMat-Bulk.

Computed properties:
V in A^3/atom: 22.5

Cell lengths 5.4395, 5.4395, 3.8018 Å; angles 90.00, 90.00, 90.00 degrees
Closest atoms and distances in Å follow each position.
Element x y z (fractional)
Si 0.5000 0.5000 0.5000  8 Te 3.32
Te 0.0000 0.5000 0.0000  2 W 2.72
Te 0.5000 0.0000 0.0000  2 W 2.72
W 0.0000 0.0000 0.0000  2 N 1.90
N 0.0000 0.0000 0.5000  2 W 1.90

---

b.
First-principles (PBE) data for crystalline SiTe2WN at its relaxed geometry, as listed in Alexandria via LeMat-Bulk.

Computed properties:
V in A^3/atom: 19.4

Cell lengths 5.4344, 5.4344, 3.2889 Å; angles 90.00, 90.00, 90.00 degrees
Closest atoms and distances in Å follow each position.
Element x y z (fractional)
Si 0.0000 0.0000 0.0000  2 N 1.64
Te 0.0000 0.5000 0.0000  2 Si 2.72
Te 0.5000 0.0000 0.0000  2 Si 2.72
W 0.5000 0.5000 0.5000  8 Te 3.18, 2 W 3.29
N 0.0000 0.0000 0.5000  2 Si 1.64

---

Order of stability, best first: a, b

---

a.
First-principles (PBE) data for crystalline SiTeWN2 at its relaxed geometry, as listed in Alexandria via LeMat-Bulk.

Computed properties:
V in A^3/atom: 17.7

Cell lengths 3.9619, 3.9619, 5.6333 Å; angles 90.00, 90.00, 90.00 degrees
Closest atoms and distances in Å follow each position.
Element x y z (fractional)
Si 0.5000 0.5000 0.5000  4 Te 2.80
Te 0.0000 0.0000 0.5000  4 Si 2.80, 2 W 2.82
W 0.0000 0.0000 0.0000  4 N 1.98
N 0.0000 0.5000 0.0000  2 W 1.98
N 0.5000 0.0000 0.0000  2 W 1.98

---

b.
First-principles (PBE) data for crystalline SiTeWN2 at its relaxed geometry, as listed in Alexandria via LeMat-Bulk.

Computed properties:
V in A^3/atom: 18.9

Cell lengths 3.6264, 3.6264, 7.1810 Å; angles 90.00, 90.00, 90.00 degrees
Closest atoms and distances in Å follow each position.
Element x y z (fractional)
Si 0.0000 0.0000 0.0000  4 N 1.81
Te 0.0000 0.0000 0.5000  4 W 2.56
W 0.5000 0.5000 0.5000  4 Te 2.56
N 0.0000 0.5000 0.0000  2 Si 1.81
N 0.5000 0.0000 0.0000  2 Si 1.81

---

Order of stability, best first: a, b

---

a.
First-principles (PBE) data for crystalline ZnSiTe2N at its relaxed geometry, as listed in Alexandria via LeMat-Bulk.

Computed properties:
V in A^3/atom: 22.6

Cell lengths 5.5868, 5.5868, 3.6262 Å; angles 90.00, 90.00, 90.00 degrees
Closest atoms and distances in Å follow each position.
Element x y z (fractional)
Zn 0.0000 0.0000 0.0000  2 N 1.81
Te 0.0000 0.5000 0.0000  2 Zn 2.79
Te 0.5000 0.0000 0.0000  2 Zn 2.79
Si 0.5000 0.5000 0.5000  8 Te 3.33, 2 Si 3.63
N 0.0000 0.0000 0.5000  2 Zn 1.81

---

b.
First-principles (PBE) data for crystalline ZnSiTe2N at its relaxed geometry, as listed in Alexandria via LeMat-Bulk.

Computed properties:
V in A^3/atom: 21.2

Cell lengths 5.7113, 5.7113, 3.2543 Å; angles 90.00, 90.00, 90.00 degrees
Closest atoms and distances in Å follow each position.
Element x y z (fractional)
Zn 0.5000 0.5000 0.5000  2 Zn 3.25, 8 Te 3.29
Te 0.0000 0.5000 0.0000  2 Si 2.86
Te 0.5000 0.0000 0.0000  2 Si 2.86
Si 0.0000 0.0000 0.0000  2 N 1.63
N 0.0000 0.0000 0.5000  2 Si 1.63

---

Order of stability, best first: b, a

---

a.
First-principles (PBE) data for crystalline ZrSiTe2N at its relaxed geometry, as listed in Alexandria via LeMat-Bulk.

Computed properties:
V in A^3/atom: 26.5

Cell lengths 5.7495, 5.7495, 4.0085 Å; angles 90.00, 90.00, 90.00 degrees
Closest atoms and distances in Å follow each position.
Element x y z (fractional)
Si 0.5000 0.5000 0.5000  8 Te 3.50
Te 0.0000 0.5000 0.0000  2 Zr 2.87
Te 0.5000 0.0000 0.0000  2 Zr 2.87
Zr 0.0000 0.0000 0.0000  2 N 2.00
N 0.0000 0.0000 0.5000  2 Zr 2.00

---

b.
First-principles (PBE) data for crystalline ZrSiTe2N at its relaxed geometry, as listed in Alexandria via LeMat-Bulk.

Computed properties:
V in A^3/atom: 20.7

Cell lengths 5.5843, 5.5843, 3.3225 Å; angles 90.00, 90.00, 90.00 degrees
Closest atoms and distances in Å follow each position.
Element x y z (fractional)
Si 0.0000 0.0000 0.0000  2 N 1.66
Te 0.0000 0.5000 0.0000  2 Si 2.79
Te 0.5000 0.0000 0.0000  2 Si 2.79
Zr 0.5000 0.5000 0.5000  8 Te 3.25, 2 Zr 3.32
N 0.0000 0.0000 0.5000  2 Si 1.66

---

Order of stability, best first: b, a

---

a.
First-principles (PBE) data for crystalline ThSiN at its relaxed geometry, as listed in Alexandria via LeMat-Bulk.

Computed properties:
V in A^3/atom: 19.6

Cell lengths 4.0611, 4.1897, 7.2222 Å; angles 73.16, 90.01, 90.00 degrees
Closest atoms and distances in Å follow each position.
Element x y z (fractional)
Th 0.2500 0.8322 0.3353  4 N 2.33-2.38
Th 0.7500 0.1678 0.6647  4 N 2.33-2.38
Si 0.2500 0.5419 0.9164  2 Si 2.34
Si 0.7500 0.4581 0.0836  2 Si 2.34
N 0.7500 0.7490 0.5020  4 Th 2.33-2.38
N 0.2500 0.2510 0.4980  4 Th 2.33-2.38

---

b.
First-principles (PBE) data for crystalline ThSiN at its relaxed geometry, as listed in Alexandria via LeMat-Bulk.

Computed properties:
V in A^3/atom: 17.7

Cell lengths 3.5153, 3.5153, 8.6129 Å; angles 90.00, 90.00, 87.71 degrees
Closest atoms and distances in Å follow each position.
Element x y z (fractional)
Th 0.7500 0.7500 0.6672  5 N 2.39-2.58
Th 0.2500 0.2500 0.3328  5 N 2.39-2.58
Si 0.2500 0.7500 0.0000  4 Si 2.44-2.53
Si 0.7500 0.2500 0.0000  4 Si 2.44-2.53
N 0.7501 0.7501 0.3894  5 Th 2.39-2.58
N 0.2499 0.2499 0.6106  5 Th 2.39-2.58

---

Order of stability, best first: a, b

---

a.
First-principles (PBE) data for crystalline V2Si2N at its relaxed geometry, as listed in Alexandria via LeMat-Bulk.

Computed properties:
V in A^3/atom: 13.4

Cell lengths 3.2442, 3.2442, 6.7790 Å; angles 76.16, 76.16, 90.00 degrees
Closest atoms and distances in Å follow each position.
Element x y z (fractional)
Si 0.4122 0.4122 0.1755  1 Si 2.24
Si 0.5878 0.5878 0.8245  1 Si 2.24
V 0.7500 0.2500 0.5000  4 V 2.29
V 0.2500 0.7500 0.5000  4 V 2.29
N 0.0000 0.0000 0.0000  8 Si 2.55

---

b.
First-principles (PBE) data for crystalline V2Si2N at its relaxed geometry, as listed in Alexandria via LeMat-Bulk.

Computed properties:
V in A^3/atom: 12.4

Cell lengths 5.9648, 5.9648, 3.4950 Å; angles 90.00, 90.00, 90.00 degrees
Closest atoms and distances in Å follow each position.
Element x y z (fractional)
Si 0.3605 0.8605 0.0000  2 N 2.31, 1 Si 2.35, 6 V 2.39-2.54
Si 0.8605 0.6395 0.0000  2 N 2.31, 1 Si 2.35, 6 V 2.39-2.54
Si 0.6395 0.1395 0.0000  2 N 2.31, 1 Si 2.35, 6 V 2.39-2.54
Si 0.1395 0.3605 0.0000  2 N 2.31, 1 Si 2.35, 6 V 2.39-2.54
V 0.1679 0.6679 0.5000  6 Si 2.39-2.54
V 0.6679 0.8321 0.5000  6 Si 2.39-2.54
V 0.8321 0.3321 0.5000  6 Si 2.39-2.54
V 0.3321 0.1679 0.5000  6 Si 2.39-2.54
N 0.0000 0.0000 0.0000  4 Si 2.31
N 0.5000 0.5000 0.0000  4 Si 2.31

---

Order of stability, best first: b, a